(1)
VASP calculation (GGA-PBE) on crystalline DyTmPO at its relaxed geometry.

Structure (CIF):
```
data_DyTmPO
_space_group_name_H-M_alt 'P 1'
_space_group_IT_number 1
_cell_length_a 4.0916
_cell_length_b 7.3887
_cell_length_c 5.5970
_cell_angle_alpha 90.00
_cell_angle_beta 90.00
_cell_angle_gamma 90.00
loop_
_space_group_symop_operation_xyz
'x,y,z'
loop_
_atom_site_label
_atom_site_type_symbol
_atom_site_fract_x
_atom_site_fract_y
_atom_site_fract_z
Dy1 Dy 0.0000 0.1254 0.0000
Dy2 Dy 0.0000 0.8746 0.5000
Tm1 Tm 0.5000 0.2926 0.4496
Tm2 Tm 0.5000 0.7074 0.9496
P1 P 0.5000 0.3465 0.9427
P2 P 0.5000 0.6535 0.4427
O1 O 0.0000 0.1765 0.4004
O2 O 0.0000 0.8235 0.9004
```

Total energy: -6.87 eV per atom
Excess energy over the best structure of this formula in the dataset: 2.2 kJ/mol of atoms

=====

(2)
VASP calculation (GGA-PBE) on crystalline DyZnPO at its relaxed geometry.

Structure (CIF):
```
data_DyZnPO
_space_group_name_H-M_alt 'P 1'
_space_group_IT_number 1
_cell_length_a 4.8362
_cell_length_b 4.0598
_cell_length_c 6.5654
_cell_angle_alpha 90.00
_cell_angle_beta 90.00
_cell_angle_gamma 90.00
loop_
_space_group_symop_operation_xyz
'x,y,z'
loop_
_atom_site_label
_atom_site_type_symbol
_atom_site_fract_x
_atom_site_fract_y
_atom_site_fract_z
Dy1 Dy 0.0000 0.2051 0.0000
Dy2 Dy 0.0000 0.7949 0.5000
Zn1 Zn 0.5000 0.3155 0.3608
Zn2 Zn 0.5000 0.6845 0.8608
P1 P 0.5000 0.1873 0.7003
P2 P 0.5000 0.8127 0.2003
O1 O 0.0000 0.3031 0.3411
O2 O 0.0000 0.6969 0.8411
```

Total energy: -5.69 eV per atom

=====

(3)
VASP calculation (GGA-PBE) on crystalline DyZnPO at its relaxed geometry.

Structure (CIF):
```
data_DyZnPO
_space_group_name_H-M_alt 'P 1'
_space_group_IT_number 1
_cell_length_a 4.2603
_cell_length_b 6.0471
_cell_length_c 5.7331
_cell_angle_alpha 90.00
_cell_angle_beta 90.00
_cell_angle_gamma 90.00
loop_
_space_group_symop_operation_xyz
'x,y,z'
loop_
_atom_site_label
_atom_site_type_symbol
_atom_site_fract_x
_atom_site_fract_y
_atom_site_fract_z
Dy1 Dy 0.0000 0.2388 0.0000
Dy2 Dy 0.0000 0.7612 0.5000
Zn1 Zn 0.5000 0.3519 0.5999
Zn2 Zn 0.5000 0.6481 0.0999
P1 P 0.0000 0.2250 0.4934
P2 P 0.0000 0.7750 0.9934
O1 O 0.5000 0.3309 0.9671
O2 O 0.5000 0.6691 0.4671
```

Total energy: -5.71 eV per atom

=====

(4)
VASP calculation (GGA-PBE) on crystalline DyZrPO at its relaxed geometry.

Structure (CIF):
```
data_DyZrPO
_space_group_name_H-M_alt 'P 1'
_space_group_IT_number 1
_cell_length_a 4.1423
_cell_length_b 4.1423
_cell_length_c 8.5209
_cell_angle_alpha 90.00
_cell_angle_beta 90.00
_cell_angle_gamma 90.00
loop_
_space_group_symop_operation_xyz
'x,y,z'
loop_
_atom_site_label
_atom_site_type_symbol
_atom_site_fract_x
_atom_site_fract_y
_atom_site_fract_z
Dy1 Dy 0.2500 0.2500 0.1152
Dy2 Dy 0.7500 0.7500 0.8848
Zr1 Zr 0.2500 0.7500 0.5000
Zr2 Zr 0.7500 0.2500 0.5000
P1 P 0.2500 0.2500 0.6882
P2 P 0.7500 0.7500 0.3118
O1 O 0.2500 0.7500 0.0000
O2 O 0.7500 0.2500 0.0000
```

Total energy: -7.90 eV per atom
Excess energy over the best structure of this formula in the dataset: 0.0 kJ/mol of atoms

=====

(5)
VASP calculation (GGA-PBE) on crystalline DyZrPO at its relaxed geometry.

Structure (CIF):
```
data_DyZrPO
_space_group_name_H-M_alt 'P 1'
_space_group_IT_number 1
_cell_length_a 5.0281
_cell_length_b 4.1442
_cell_length_c 7.3406
_cell_angle_alpha 90.00
_cell_angle_beta 90.00
_cell_angle_gamma 90.00
loop_
_space_group_symop_operation_xyz
'x,y,z'
loop_
_atom_site_label
_atom_site_type_symbol
_atom_site_fract_x
_atom_site_fract_y
_atom_site_fract_z
Dy1 Dy 0.2500 0.0000 0.1479
Dy2 Dy 0.7500 0.0000 0.8521
Zr1 Zr 0.2500 0.5000 0.7419
Zr2 Zr 0.7500 0.5000 0.2581
P1 P 0.2500 0.5000 0.3815
P2 P 0.7500 0.5000 0.6185
O1 O 0.2500 0.0000 0.8324
O2 O 0.7500 0.0000 0.1676
```

Total energy: -7.71 eV per atom
Excess energy over the best structure of this formula in the dataset: 18.7 kJ/mol of atoms

=====

(6)
VASP calculation (GGA-PBE) on crystalline DyZrPO at its relaxed geometry.

Structure (CIF):
```
data_DyZrPO
_space_group_name_H-M_alt 'P 1'
_space_group_IT_number 1
_cell_length_a 3.9292
_cell_length_b 7.3719
_cell_length_c 5.6443
_cell_angle_alpha 90.00
_cell_angle_beta 90.00
_cell_angle_gamma 90.00
loop_
_space_group_symop_operation_xyz
'x,y,z'
loop_
_atom_site_label
_atom_site_type_symbol
_atom_site_fract_x
_atom_site_fract_y
_atom_site_fract_z
Dy1 Dy 0.0000 0.2100 0.0000
Dy2 Dy 0.0000 0.7900 0.5000
Zr1 Zr 0.5000 0.3865 0.5386
Zr2 Zr 0.5000 0.6135 0.0386
P1 P 0.0000 0.1628 0.4976
P2 P 0.0000 0.8372 0.9976
O1 O 0.5000 0.3366 0.9208
O2 O 0.5000 0.6634 0.4208
```

Total energy: -7.69 eV per atom
Excess energy over the best structure of this formula in the dataset: 20.2 kJ/mol of atoms

=====

(7)
VASP calculation (GGA-PBE) on crystalline DyZrPO at its relaxed geometry.

Structure (CIF):
```
data_DyZrPO
_space_group_name_H-M_alt 'P 1'
_space_group_IT_number 1
_cell_length_a 3.9992
_cell_length_b 3.9992
_cell_length_c 8.4354
_cell_angle_alpha 90.00
_cell_angle_beta 90.00
_cell_angle_gamma 90.00
loop_
_space_group_symop_operation_xyz
'x,y,z'
loop_
_atom_site_label
_atom_site_type_symbol
_atom_site_fract_x
_atom_site_fract_y
_atom_site_fract_z
Dy1 Dy 0.2500 0.7500 0.0000
Dy2 Dy 0.7500 0.2500 0.0000
Zr1 Zr 0.2500 0.2500 0.3749
Zr2 Zr 0.7500 0.7500 0.6251
P1 P 0.2500 0.2500 0.7705
P2 P 0.7500 0.7500 0.2295
O1 O 0.2500 0.7500 0.5000
O2 O 0.7500 0.2500 0.5000
```

Total energy: -7.36 eV per atom
Excess energy over the best structure of this formula in the dataset: 52.2 kJ/mol of atoms

=====

(8)
VASP calculation (GGA-PBE) on crystalline DyPaO4 at its relaxed geometry.

Structure (CIF):
```
data_DyPaO4
_space_group_name_H-M_alt 'P 1'
_space_group_IT_number 1
_cell_length_a 6.5840
_cell_length_b 6.5840
_cell_length_c 6.5840
_cell_angle_alpha 131.75
_cell_angle_beta 131.75
_cell_angle_gamma 70.63
loop_
_space_group_symop_operation_xyz
'x,y,z'
loop_
_atom_site_label
_atom_site_type_symbol
_atom_site_fract_x
_atom_site_fract_y
_atom_site_fract_z
Dy1 Dy 0.3750 0.6250 0.7500
Dy2 Dy 0.6250 0.3750 0.2500
Pa1 Pa 0.1250 0.8750 0.2500
Pa2 Pa 0.8750 0.1250 0.7500
O1 O 0.0000 0.2426 0.2426
O2 O 0.0000 0.7574 0.7574
O3 O 0.2426 0.0000 0.7426
O4 O 0.2426 0.5000 0.2426
O5 O 0.5000 0.2426 0.7426
O6 O 0.5000 0.7574 0.2574
O7 O 0.7574 0.0000 0.2574
O8 O 0.7574 0.5000 0.7574
```

Total energy: -9.01 eV per atom